# 1
TeRu2I | the Alexandria database | GGA-PBE | relaxed; Fermi-level density of states = 6.91 states/eV per cell; uncorrected energy = -5.217 eV per atom; SG = No. 122
1.0
-4.4957 -0.5716 -3.8344
-1.8607 -4.8328 2.9020
-6.5476 0.6658 2.9823
I Ru Te
2 4 2
Cartesian
0.0000 0.0000 0.0000
-7.1108 -1.3040 -0.6592
-4.6619 -0.7927 -1.2734
-3.3792 -2.9277 2.0652
-7.3016 -1.5460 1.8983
-10.4654 -4.2108 1.4097
-3.1782 -2.7022 -0.4662
-5.7933 -3.4346 2.7091

---

# 2
CdCu3 | the Alexandria database | GGA-PBE | relaxed; Fermi-level density of states = 1.00 states/eV per cell; uncorrected energy = -3.242 eV per atom; DFT formation energy = 0.06 eV/atom; SG = No. 123
1.0
-0.4041 2.9012 0.0082
-2.9012 -0.4027 0.0353
0.0813 -0.0074 6.5963
Cu Cd
3 1
Cartesian
0.0407 -0.0037 3.2982
-1.6293 1.2472 1.9168
-1.5947 1.2440 4.7230
0.0000 0.0000 0.0000

---

# 3
BaHgP2O6 | the Alexandria database | GGA-PBE | relaxed; Fermi-level density of states = 0.00 states/eV per cell; uncorrected energy = -6.273 eV per atom; SG = No. 148
1.0
-5.2660 3.7538 1.5923
-5.2651 -2.7540 3.0086
-0.9205 1.5655 7.1939
Ba Hg P O
1 1 2 6
Cartesian
-5.7258 1.2826 5.8974
0.0000 0.0000 0.0000
-8.7086 1.8669 8.5840
-2.7430 0.6984 3.2108
-4.1154 -0.5559 7.0195
-4.1254 3.4284 6.1567
-4.1082 0.8318 3.7967
-7.3362 3.1212 4.7753
-7.3263 -0.8631 5.6381
-7.3434 1.7335 7.9981

---

Which value of Fermi-level density of states does entry 1 give? 6.91 states/eV per cell

---

The lowest uncorrected energy belongs to which entry? BaHgP2O6